! PuGa4Se | Alexandria | GGA-PBE | relaxed; values from VASP
! **DFT total energy**: -30.96 eV per cell
! **Density of states at the Fermi level**: 1.76 states/eV per atom
! **Raw formation energy**: -4.00 kcal/mol of atoms
&SYSTEM
  ibrav = 0, nat = 6, ntyp = 3
/
ATOMIC_SPECIES
Pu 244.00 Pu.upf
Ga 69.72 Ga.upf
Se 78.96 Se.upf
ATOMIC_POSITIONS angstrom
Pu 0.000 0.000 0.000
Ga 4.916 2.941 2.941
Ga 2.941 4.916 2.941
Ga 2.941 2.941 4.916
Ga 4.916 4.916 4.916
Se 1.964 1.964 1.964
CELL_PARAMETERS angstrom
0.000 3.928 3.928
3.928 0.000 3.928
3.928 3.928 0.000